[1]
First-principles (GGA-PBE) data for a relaxed structure of ZrAl2Hg, as listed in the Alexandria database.

Formation energy in eV per atom: -0.044

Lattice parameters (Å, degrees): 3.1234 3.1234 28.6142 90.00 90.00 120.00
Space group R-3m (No. 166, hexagonal axes)
Inequivalent atoms, fractional coordinates:
Zr1 0.0000 0.0000 0.0000 (multiplicity 3)
Al1 0.0000 0.0000 0.2499 (multiplicity 6)
Hg1 0.0000 0.0000 0.5000 (multiplicity 3)

=====

[2]
First-principles (GGA-PBE) data for a relaxed structure of GaGe2Pt, as listed in the Alexandria database.

Formation energy in eV per atom: -0.021

Lattice parameters (Å, degrees): 3.9675 3.9675 21.3908 90.00 90.00 120.00
Space group R-3m (No. 166, hexagonal axes)
Inequivalent atoms, fractional coordinates:
Ga1 0.0000 0.0000 0.0000 (multiplicity 3)
Ge1 0.0000 0.0000 0.1177 (multiplicity 6)
Pt1 0.0000 0.0000 0.5000 (multiplicity 3)

=====

[3]
First-principles (GGA-PBE) data for a relaxed structure of GdHfHgPd, as listed in the Alexandria database.

Formation energy in eV per atom: -0.345

Lattice parameters (Å, degrees): 7.0604 7.0604 7.0604 90.00 90.00 90.00
Space group F-43m (No. 216)
Inequivalent atoms, fractional coordinates:
Gd1 0.0000 0.0000 0.0000 (multiplicity 4)
Hf1 0.0000 0.0000 0.5000 (multiplicity 4)
Hg1 0.2500 0.2500 0.2500 (multiplicity 4)
Pd1 0.2500 0.2500 0.7500 (multiplicity 4)

=====

[4]
First-principles (GGA-PBE) data for a relaxed structure of DyTmTlCo, as listed in the Alexandria database.

Formation energy in eV per atom: -0.130

Lattice parameters (Å, degrees): 7.1697 7.1697 7.1697 90.00 90.00 90.00
Space group F-43m (No. 216)
Inequivalent atoms, fractional coordinates:
Dy1 0.0000 0.0000 0.0000 (multiplicity 4)
Tm1 0.0000 0.0000 0.5000 (multiplicity 4)
Tl1 0.2500 0.2500 0.7500 (multiplicity 4)
Co1 0.2500 0.2500 0.2500 (multiplicity 4)

=====

[5]
First-principles (GGA-PBE) data for a relaxed structure of SnCN3, as listed in the Alexandria database.

ΔE_f (raw) in eV per atom: 3.096

Lattice parameters (Å, degrees): 4.1661 4.1661 4.1661 90.00 90.00 90.00
Space group Pm-3m (No. 221)
Inequivalent atoms, fractional coordinates:
Sn1 0.0000 0.0000 0.0000 (multiplicity 1)
C1 0.5000 0.5000 0.5000 (multiplicity 1)
N1 0.0000 0.0000 0.5000 (multiplicity 3)

=====

[6]
First-principles (GGA-PBE) data for a relaxed structure of BaSiIO6, as listed in the Alexandria database.

ΔE_f (raw) in eV per atom: -1.668

Lattice parameters (Å, degrees): 5.1518 5.1518 5.8570 90.00 90.00 120.00
Space group P312 (No. 149)
Inequivalent atoms, fractional coordinates:
Ba1 0.0000 0.0000 0.0000 (multiplicity 1)
Si1 0.3333 0.6667 0.5000 (multiplicity 1)
I1 0.6667 0.3333 0.5000 (multiplicity 1)
O1 0.0293 0.4065 0.6851 (multiplicity 6)

=====

[7]
First-principles (GGA-PBE) data for a relaxed structure of SrSnAsSe2, as listed in the Alexandria database.

ΔE_f (raw) in eV per atom: -0.402

Lattice parameters (Å, degrees): 5.4061 5.4061 5.1756 90.00 90.00 90.00
Space group P4/mmm (No. 123)
Inequivalent atoms, fractional coordinates:
Sr1 0.0000 0.0000 0.0000 (multiplicity 1)
Sn1 0.5000 0.5000 0.5000 (multiplicity 1)
As1 0.5000 0.5000 0.0000 (multiplicity 1)
Se1 0.0000 0.5000 0.5000 (multiplicity 2)

=====

[8]
First-principles (GGA-PBE) data for a relaxed structure of CaFeW2Au, as listed in the Alexandria database.

Formation energy in eV per atom: 2.141

Lattice parameters (Å, degrees): 4.9227 4.9227 5.2153 90.00 90.00 90.00
Space group P4/mmm (No. 123)
Inequivalent atoms, fractional coordinates:
Ca1 0.0000 0.0000 0.0000 (multiplicity 1)
Fe1 0.5000 0.5000 0.0000 (multiplicity 1)
W1 0.0000 0.5000 0.5000 (multiplicity 2)
Au1 0.0000 0.0000 0.5000 (multiplicity 1)

=====

[9]
First-principles (GGA-PBE) data for a relaxed structure of Pu5GeRu4, as listed in the Alexandria database.

Formation energy in eV per atom: 0.203

Lattice parameters (Å, degrees): 3.1727 3.1727 18.6519 90.00 90.00 90.00
Space group P4/mmm (No. 123)
Inequivalent atoms, fractional coordinates:
Pu1 0.0000 0.0000 0.0000 (multiplicity 1)
Pu2 0.0000 0.0000 0.1880 (multiplicity 2)
Pu3 0.0000 0.0000 0.3849 (multiplicity 2)
Ge1 0.5000 0.5000 0.5000 (multiplicity 1)
Ru1 0.5000 0.5000 0.0937 (multiplicity 2)
Ru2 0.5000 0.5000 0.2728 (multiplicity 2)

=====

[10]
First-principles (GGA-PBE) data for a relaxed structure of AlAgP2, as listed in the Alexandria database.

Formation energy in eV per atom: 0.262

Lattice parameters (Å, degrees): 2.7403 3.3787 7.0377 90.00 90.00 90.00
Space group Pmmm (No. 47)
Inequivalent atoms, fractional coordinates:
Al1 0.0000 0.0000 0.0000 (multiplicity 1)
Ag1 0.0000 0.0000 0.5000 (multiplicity 1)
P1 0.5000 0.5000 0.2183 (multiplicity 2)

=====

[11]
First-principles (GGA-PBE) data for a relaxed structure of PrMgSe3, as listed in the Alexandria database.

ΔE_f (raw) in eV per atom: -1.147

Lattice parameters (Å, degrees): 8.7662 11.8926 6.1911 90.00 117.05 90.00
Space group C2/m (No. 12)
Inequivalent atoms, fractional coordinates:
Pr1 0.2307 0.0000 0.1684 (multiplicity 4)
Mg1 0.0000 0.3276 0.0000 (multiplicity 4)
Se1 0.0169 0.1575 0.7538 (multiplicity 8)
Se2 0.1101 0.5000 0.3004 (multiplicity 4)

=====

[12]
First-principles (GGA-PBE) data for a relaxed structure of YCr2Br, as listed in the Alexandria database.

ΔE_f (raw) in eV per atom: 0.441

Lattice parameters (Å, degrees): 3.4845 4.6094 5.7386 90.00 105.46 90.00
Space group P2/m (No. 10)
Inequivalent atoms, fractional coordinates:
Y1 0.0000 0.0000 0.0000 (multiplicity 1)
Cr1 0.3851 0.5000 0.7416 (multiplicity 2)
Br1 0.5000 0.0000 0.5000 (multiplicity 1)